(1)
A geometry-optimized Tb5Pr2Dy4 structure. Source: Alexandria, functional GGA-PBE.

Values from the calculation:
Total DFT energy (no corrections): -49.5 eV/cell
Energy of formation from the pure elements: 0.148 eV/atom
DOS(E_F): 1.8307 states/eV/atom
ΔE to the lowest computed polymorph: 0 meV/atom
Crystal system: monoclinic

The structure in POSCAR format:
```
Tb5Pr2Dy4
1.0
3.429 0.000 -0.523
-0.197 8.680 -1.291
0.089 0.389 12.096
Tb Dy Pr
5 4 2
Cartesian
2.837 7.892 7.104
0.681 7.343 4.466
2.641 1.725 5.817
0.484 1.176 3.179
1.715 0.000 -0.261
3.228 5.899 9.668
1.059 4.830 6.946
0.094 3.169 0.614
2.263 4.238 3.337
0.188 6.506 1.232
3.134 2.562 9.051
```

=====

(2)
A geometry-optimized Tb2Pr7Dy3 structure. Source: Alexandria, functional GGA-PBE.

Values from the calculation:
Total DFT energy (no corrections): -55.7 eV/cell
Energy of formation from the pure elements: 0.069 eV/atom
DOS(E_F): 1.4672 states/eV/atom
ΔE to the lowest computed polymorph: 0 meV/atom
Crystal system: monoclinic

The structure in POSCAR format:
```
Tb2Pr7Dy3
1.0
3.588 0.000 0.000
0.000 6.469 0.890
0.000 2.289 18.117
Tb Dy Pr
2 3 7
Cartesian
1.794 4.706 6.527
1.794 4.052 12.480
0.000 1.532 6.267
0.000 7.226 12.740
1.794 3.234 0.445
1.794 2.687 9.388
1.794 0.736 3.167
0.000 3.976 3.526
1.794 8.022 15.840
1.794 6.072 9.619
0.000 0.000 0.000
0.000 4.782 15.481
```

=====

(3)
A geometry-optimized Tb7Pr4Dy structure. Source: Alexandria, functional GGA-PBE.

Values from the calculation:
Total DFT energy (no corrections): -53.0 eV/cell
Energy of formation from the pure elements: 0.259 eV/atom
DOS(E_F): 1.6656 states/eV/atom
ΔE to the lowest computed polymorph: 172 meV/atom
Crystal system: monoclinic

The structure in POSCAR format:
```
Tb7Pr4Dy
1.0
-4.268 3.718 -1.925
-9.515 -2.807 6.390
-0.493 5.920 3.241
Tb Pr Dy
7 4 1
Cartesian
-7.324 7.509 2.885
-2.134 1.859 -0.963
-7.620 2.296 2.760
-6.952 -0.677 4.821
-12.397 3.299 6.003
-1.879 3.532 1.704
-6.656 4.535 4.946
-4.238 1.213 2.454
-10.039 5.618 5.253
-5.093 4.703 1.805
-9.184 2.128 5.902
0.000 0.000 0.000
```

=====

(4)
A geometry-optimized Tb3Pr2Dy8 structure. Source: Alexandria, functional GGA-PBE.

Values from the calculation:
Total DFT energy (no corrections): -57.2 eV/cell
Energy of formation from the pure elements: 0.239 eV/atom
DOS(E_F): 1.7221 states/eV/atom
Crystal system: monoclinic

The structure in POSCAR format:
```
Tb3Pr2Dy8
1.0
5.498 0.000 0.761
0.001 7.651 -0.004
-1.427 -3.831 10.302
Dy Pr Tb
8 2 3
Cartesian
1.625 1.616 8.496
-1.061 3.820 7.663
1.625 -1.630 8.497
2.447 5.450 2.562
4.532 -0.009 7.739
2.447 2.204 2.563
-0.460 3.829 3.320
5.133 0.000 3.395
2.010 3.825 5.722
2.062 -0.005 5.337
-1.426 1.613 10.298
0.000 2.207 0.000
2.749 0.000 0.381
```

=====

(5)
A geometry-optimized Tb12PrDy7 structure. Source: Alexandria, functional GGA-PBE.

Values from the calculation:
Total DFT energy (no corrections): -78.8 eV/cell
Energy of formation from the pure elements: 0.687 eV/atom
DOS(E_F): 1.1903 states/eV/atom
ΔE to the lowest computed polymorph: 391 meV/atom
Crystal system: cubic

The structure in POSCAR format:
```
Tb12PrDy7
1.0
-3.204 1.241 -9.169
9.645 1.652 0.339
-1.844 -9.172 2.889
Dy Tb Pr
7 12 1
Cartesian
3.221 1.446 -4.415
-2.524 -3.966 -3.140
2.299 -3.140 -2.971
3.901 -3.760 1.614
-0.922 -4.586 1.444
-1.602 0.620 -4.585
4.823 0.826 0.169
-2.852 -1.412 -6.101
-1.778 -7.821 -3.858
3.902 -2.345 -5.161
4.238 -5.001 -2.093
7.449 -4.868 0.160
3.516 0.139 -8.175
3.627 -1.183 -1.422
0.696 -3.934 -0.781
0.359 -1.279 -3.848
6.375 1.541 -2.083
1.082 -6.418 2.233
0.970 -5.097 -4.520
0.000 0.000 0.000
```

=====

(6)
A geometry-optimized TbPr4Dy structure. Source: Alexandria, functional GGA-PBE.

Values from the calculation:
Total DFT energy (no corrections): -24.8 eV/cell
Energy of formation from the pure elements: 0.590 eV/atom
DOS(E_F): 1.7093 states/eV/atom
ΔE to the lowest computed polymorph: 569 meV/atom
Crystal system: orthorhombic

The structure in POSCAR format:
```
TbPr4Dy
1.0
-2.298 -0.713 -2.564
5.427 -5.370 -3.372
-3.229 -6.163 4.609
Pr Tb Dy
4 1 1
Cartesian
-1.774 -3.465 -2.268
2.020 -5.933 -2.572
1.673 -8.781 0.941
-2.120 -6.313 1.245
1.099 -5.766 0.618
-1.149 -0.356 -1.282
```

=====

(7)
A geometry-optimized Tb12Pr7Dy structure. Source: Alexandria, functional GGA-PBE.

Values from the calculation:
Total DFT energy (no corrections): -89.1 eV/cell
Energy of formation from the pure elements: 0.226 eV/atom
DOS(E_F): 1.8456 states/eV/atom
ΔE to the lowest computed polymorph: 0 meV/atom
Crystal system: trigonal

The structure in POSCAR format:
```
Tb12Pr7Dy
1.0
8.536 1.297 1.947
-1.127 8.560 1.947
-1.127 -1.500 8.649
Tb Pr Dy
12 7 1
Cartesian
4.958 7.885 5.245
4.549 1.209 5.756
1.323 0.473 7.299
1.733 7.148 6.788
5.928 3.093 3.248
0.353 5.264 9.296
6.384 4.858 5.985
2.891 2.641 9.211
0.086 6.196 4.105
3.390 5.717 3.333
-0.103 3.500 6.559
6.195 2.161 8.439
5.496 4.864 10.760
0.785 3.493 1.784
3.141 4.179 6.272
0.071 0.837 3.910
3.137 0.982 2.279
6.211 7.520 8.634
3.144 7.376 10.265
0.000 0.000 0.000
```

=====

(8)
A geometry-optimized Tb4PrDy5 structure. Source: Alexandria, functional GGA-PBE.

Values from the calculation:
Total DFT energy (no corrections): -44.4 eV/cell
Energy of formation from the pure elements: 0.187 eV/atom
DOS(E_F): 1.3285 states/eV/atom
ΔE to the lowest computed polymorph: 0 meV/atom
Crystal system: monoclinic

The structure in POSCAR format:
```
Tb4PrDy5
1.0
-3.062 -0.369 1.747
-0.038 -10.730 -2.343
5.872 -1.395 6.397
Dy Pr Tb
5 1 4
Cartesian
1.484 -6.456 1.231
-1.550 -5.550 -0.298
1.482 -10.688 0.326
1.288 -6.038 4.569
1.290 -1.805 5.474
-1.531 -0.185 0.873
2.991 -9.147 3.299
0.210 -8.105 -1.351
-0.220 -3.347 2.502
2.562 -4.389 7.151
```